Entry 1:
The following is a GGA-PBE calculation of crystalline SmEuCu2 at its relaxed geometry, from Alexandria via LeMat-Bulk.

```
SmEuCu2
1.0
0.000 3.578 3.578
3.578 0.000 3.578
3.578 3.578 0.000
Sm Eu Cu
1 1 2
Direct
0.000 0.000 0.000
0.500 0.500 0.500
0.250 0.250 0.250
0.750 0.750 0.750
```

ΔE to the lowest computed polymorph = 25 meV per atom
Crystal system = cubic

Entry 2:
The following is a GGA-PBE calculation of crystalline SmEuCu4 at its relaxed geometry, from Alexandria via LeMat-Bulk.

```
SmEuCu4
1.0
0.000 3.783 3.783
3.783 0.000 3.783
3.783 3.783 0.000
Sm Eu Cu
1 1 4
Direct
0.000 0.000 0.000
0.750 0.750 0.750
0.375 0.375 0.375
0.375 0.375 0.875
0.375 0.875 0.375
0.875 0.375 0.375
```

Crystal system = cubic

Entry 3:
The following is a GGA-PBE calculation of crystalline SmEuCu2 at its relaxed geometry, from Alexandria via LeMat-Bulk.

```
SmEuCu2
1.0
1.726 0.997 10.045
-1.726 0.997 10.045
0.000 -1.993 10.045
Sm Eu Cu
1 1 2
Direct
0.000 0.000 0.000
0.500 0.500 0.500
0.093 0.093 0.093
0.907 0.907 0.907
```

ΔE to the lowest computed polymorph = 660 meV per atom
Crystal system = trigonal

Entry 4:
The following is a GGA-PBE calculation of crystalline SmEuCuSn at its relaxed geometry, from Alexandria via LeMat-Bulk.

```
SmEuCuSn
1.0
0.000 3.763 3.763
3.763 0.000 3.763
3.763 3.763 0.000
Sm Eu Cu Sn
1 1 1 1
Direct
0.000 0.000 0.000
0.500 0.500 0.500
0.250 0.250 0.250
0.750 0.750 0.750
```

Crystal system = cubic

Entry 5:
The following is a GGA-PBE calculation of crystalline SmEuZnCu at its relaxed geometry, from Alexandria via LeMat-Bulk.

```
SmEuZnCu
1.0
0.000 3.639 3.639
3.639 0.000 3.639
3.639 3.639 0.000
Sm Eu Zn Cu
1 1 1 1
Direct
0.000 0.000 0.000
0.500 0.500 0.500
0.250 0.250 0.250
0.750 0.750 0.750
```

Crystal system = cubic

Entry 6:
The following is a GGA-PBE calculation of crystalline Eu3Cu8Sn4 at its relaxed geometry, from Alexandria via LeMat-Bulk.

```
Eu3Cu8Sn4
1.0
9.250 0.000 0.000
-4.625 8.010 0.000
0.000 0.000 7.853
Eu Cu Sn
6 16 8
Direct
0.050 0.525 0.000
0.475 0.525 0.000
0.475 0.950 0.000
0.525 0.050 0.500
0.525 0.475 0.500
0.950 0.475 0.500
0.000 0.000 0.273
0.000 0.000 0.773
0.100 0.199 0.020
0.100 0.900 0.020
0.163 0.325 0.324
0.163 0.837 0.324
0.199 0.100 0.520
0.325 0.163 0.824
0.333 0.667 0.670
0.667 0.333 0.170
0.675 0.837 0.324
0.801 0.900 0.020
0.837 0.163 0.824
0.837 0.675 0.824
0.900 0.100 0.520
0.900 0.801 0.520
0.168 0.335 0.704
0.168 0.832 0.704
0.333 0.667 0.316
0.335 0.168 0.204
0.665 0.832 0.704
0.667 0.333 0.816
0.832 0.168 0.204
0.832 0.665 0.204
```

Crystal system = hexagonal

| no. | formation energy (meV/atom) | mass density (g/cm3) |
| --- | --- | --- |
| 1 | -111 | 7.783 |
| 2 | -79 | 8.535 |
| 3 | 524 | 6.878 |
| 4 | -412 | 7.549 |
| 5 | -181 | 7.430 |
| 6 | -308 | 8.214 |